DFT (PBE-GGA) results for a geometry-optimized ZnCr2Pt structure.

Cell: 2.6008 2.6008 7.8548 Å, 90.00 90.00 90.00°
With the nearest neighbours (Å) after each atom.
Sites, in units of the cell vectors:
Zn 0.0000 0.0000 0.0000  4 Zn 2.60, 8 Cr 2.68
Cr 0.5000 0.5000 0.2489  4 Cr 2.60, 4 Zn 2.68, 4 Pt 2.70
Cr 0.5000 0.5000 0.7511  4 Cr 2.60, 4 Zn 2.68, 4 Pt 2.70
Pt 0.0000 0.0000 0.5000  4 Pt 2.60, 8 Cr 2.70

Computed properties:
energy = -0.2412 hartree per atom
formation energy = 0.078 eV/atom
space-group type = No. 123
total magnetic moment = 0.000 μB/atom
D(E_F) = 3.1 states/eV per cell

DFT (PBE-GGA) results for a geometry-optimized ZnCr2Pt2 structure.

Cell: 7.3740 7.3740 2.7292 Å, 90.00 90.00 90.00°
With the nearest neighbours (Å) after each atom.
Sites, in units of the cell vectors:
Zn 0.0000 0.0000 0.0000  2 Zn 2.73, 8 Pt 3.00
Zn 0.5000 0.5000 0.0000  2 Zn 2.73, 8 Pt 3.00
Cr 0.0941 0.4059 0.0000  1 Cr 1.96
Cr 0.4059 0.9059 0.0000  1 Cr 1.96
Cr 0.5941 0.0941 0.0000  1 Cr 1.96
Cr 0.9059 0.5941 0.0000  1 Cr 1.96
Pt 0.1957 0.6957 0.5000  6 Cr 2.58-2.64, 2 Pt 2.73
Pt 0.3043 0.1957 0.5000  6 Cr 2.58-2.64, 2 Pt 2.73
Pt 0.6957 0.8043 0.5000  6 Cr 2.58-2.64, 2 Pt 2.73
Pt 0.8043 0.3043 0.5000  6 Cr 2.58-2.64, 2 Pt 2.73

Computed properties:
energy = -0.2389 hartree per atom
formation energy = 0.021 eV/atom
space-group type = No. 127
total magnetic moment = 0.000 μB/atom
D(E_F) = 6.1 states/eV per cell

DFT (PBE-GGA) results for a geometry-optimized ZnCr2Pt structure.

Cell: 8.2715 8.2715 8.2715 Å, 19.52 19.52 19.52°
With the nearest neighbours (Å) after each atom.
Sites, in units of the cell vectors:
Zn 0.0000 0.0000 0.0000  3 Pt 2.71, 3 Cr 2.73, 6 Zn 2.80
Cr 0.2430 0.2430 0.2430  3 Cr 2.24
Cr 0.5128 0.5128 0.5128  3 Cr 2.24
Pt 0.7560 0.7560 0.7560  3 Zn 2.71, 3 Cr 2.73, 6 Pt 2.80

Computed properties:
energy = -0.2431 hartree per atom
formation energy = 0.025 eV/atom
space-group type = No. 160
total magnetic moment = 0.000 μB/atom
D(E_F) = 2.8 states/eV per cell

DFT (PBE-GGA) results for a geometry-optimized ZnCr2Pt9 structure.

Cell: 3.9155 3.9155 11.7804 Å, 90.00 90.00 90.00°
With the nearest neighbours (Å) after each atom.
Sites, in units of the cell vectors:
Zn 0.0000 0.0000 0.0000  12 Pt 2.77-2.79
Cr 0.0000 0.0000 0.3336  12 Pt 2.75-2.77
Cr 0.0000 0.0000 0.6664  12 Pt 2.75-2.77
Pt 0.0000 0.5000 0.1692  8 Pt 2.75-2.79, 2 Cr 2.75, 2 Zn 2.79
Pt 0.0000 0.5000 0.5000  8 Pt 2.77, 4 Cr 2.77
Pt 0.0000 0.5000 0.8308  8 Pt 2.75-2.79, 2 Cr 2.75, 2 Zn 2.79
Pt 0.5000 0.0000 0.1692  8 Pt 2.75-2.79, 2 Cr 2.75, 2 Zn 2.79
Pt 0.5000 0.0000 0.5000  8 Pt 2.77, 4 Cr 2.77
Pt 0.5000 0.0000 0.8308  8 Pt 2.75-2.79, 2 Cr 2.75, 2 Zn 2.79
Pt 0.5000 0.5000 0.0000  4 Zn 2.77, 8 Pt 2.79
Pt 0.5000 0.5000 0.3336  8 Pt 2.75-2.77, 4 Cr 2.77
Pt 0.5000 0.5000 0.6664  8 Pt 2.75-2.77, 4 Cr 2.77

Computed properties:
energy = -0.2405 hartree per atom
formation energy = -0.303 eV/atom
space-group type = No. 123
total magnetic moment = 0.379 μB/atom
D(E_F) = 14.3 states/eV per cell

What did the first record say?
DFT (PBE-GGA) results for a geometry-optimized ZnCr2Pt structure.

Cell: 2.6008 2.6008 7.8548 Å, 90.00 90.00 90.00°
With the nearest neighbours (Å) after each atom.
Sites, in units of the cell vectors:
Zn 0.0000 0.0000 0.0000  4 Zn 2.60, 8 Cr 2.68
Cr 0.5000 0.5000 0.2489  4 Cr 2.60, 4 Zn 2.68, 4 Pt 2.70
Cr 0.5000 0.5000 0.7511  4 Cr 2.60, 4 Zn 2.68, 4 Pt 2.70
Pt 0.0000 0.0000 0.5000  4 Pt 2.60, 8 Cr 2.70

Computed properties:
energy = -0.2412 hartree per atom
formation energy = 0.078 eV/atom
space-group type = No. 123
total magnetic moment = 0.000 μB/atom
D(E_F) = 3.1 states/eV per cell